Record 1
4
Lattice="1.700 0.982 11.409 -1.700 0.982 11.409 0.000 -1.963 11.409" Properties=species:S:1:pos:R:3 comment="Ho2ScHg (PBE, relaxed)" e_above_lowest_polymorph_mev_per_atom=339 space_group="R-3m, No. 166" crystal_system=trigonal volume_a3_per_atom=28.56 dft_energy_ry_per_atom=-0.2806 pbc="T T T"
Ho 0.000 0.000 3.214
Ho 0.000 0.000 31.013
Sc 0.000 0.000 0.000
Hg 0.000 0.000 17.113

---

Record 2
3
Lattice="4.963 0.000 0.000 -2.482 4.298 0.000 0.000 0.000 3.603" Properties=species:S:1:pos:R:3 comment="HoScHg (PBE, relaxed)" e_above_lowest_polymorph_mev_per_atom=110 space_group="P3m1, No. 156" crystal_system=trigonal volume_a3_per_atom=25.62 dft_energy_ry_per_atom=-0.2892 pbc="T T T"
Ho 0.000 0.000 0.000
Sc 0.000 2.865 1.875
Hg 2.482 1.433 1.515

---

Record 3
8
Lattice="4.140 2.390 3.637 -4.140 2.390 3.637 0.000 -4.780 3.637" Properties=species:S:1:pos:R:3 comment="HoScHg6 (PBE, relaxed)" e_above_lowest_polymorph_mev_per_atom=184 space_group="R-3m, No. 166" crystal_system=trigonal volume_a3_per_atom=26.99 dft_energy_ry_per_atom=-0.1221 pbc="T T T"
Ho 0.000 0.000 0.000
Sc 0.000 0.000 5.455
Hg 0.000 -1.765 3.118
Hg -1.528 0.882 3.118
Hg -1.528 -0.882 7.792
Hg 1.528 0.882 3.118
Hg 1.528 -0.882 7.792
Hg 0.000 1.765 7.792

---

Record 4
8
Lattice="-2.560 2.560 7.204 2.560 -2.560 7.204 2.560 2.560 -7.204" Properties=species:S:1:pos:R:3 comment="Ho2ScHg5 (PBE, relaxed)" space_group="I4/mmm, No. 139" crystal_system=tetragonal volume_a3_per_atom=23.61 dft_energy_ry_per_atom=-0.1826 pbc="T T T"
Ho 0.000 0.000 3.439
Ho 0.000 0.000 10.969
Sc 0.000 0.000 7.204
Hg 0.000 0.000 0.000
Hg 2.560 0.000 1.740
Hg 2.560 0.000 5.464
Hg 0.000 2.560 1.740
Hg 0.000 2.560 5.464